GaWSe2 | the Alexandria database | SCAN | single point on PBEsol structure; size of the total moment = 0.00 μB per cell; symmetry = R-3m; raw formation energy = 0.6188 eV per atom
1.0
1.685 0.973 7.975
-1.685 0.973 7.975
0.000 -1.946 7.975
Ga W Se
1 1 2
direct
0.000 0.000 0.000
0.500 0.500 0.500
0.400 0.400 0.400
0.600 0.600 0.600